! ZnInAu2, relaxed, DFT PBE; values from VASP
! Energy relative to the elements ... -0.098 eV per atom
! Crystal system ... tetragonal
! Total magnetic moment ... 0.00 μB per formula unit
&SYSTEM
  ibrav = 0, nat = 4, ntyp = 3
/
ATOMIC_SPECIES
Zn 65.41 Zn.upf
In 114.82 In.upf
Au 196.97 Au.upf
CELL_PARAMETERS angstrom
4.5228 0.0000 0.0000
0.0000 4.5228 0.0000
0.0000 0.0000 3.6304
ATOMIC_POSITIONS crystal
Zn 0.0000 0.0000 0.0000
In 0.5000 0.5000 0.0000
Au 0.0000 0.5000 0.5000
Au 0.5000 0.0000 0.5000